Record 1
VASP calculation (PBE) on a relaxed structure of YHgHPd2.

Computed properties:
Final energy, eV/atom: -4.515
Mass density, g/cm³: 10.3
Calculated volume, Å³ per atom: 16.2

a b c (Å): 4.260 4.260 4.469
angles (deg): 90.00 90.00 90.00
Space group P4/mmm (No. 123)
Asymmetric unit:
Y  0.000  0.000  0.000 [1 per cell]
Hg  0.500  0.500  0.000 [1 per cell]
H  0.000  0.000  0.500 [1 per cell]
Pd  0.000  0.500  0.500 [2 per cell]



Record 2
VASP calculation (PBE) on a relaxed structure of YHgHPd2.

Computed properties:
Final energy, eV/atom: -4.373
Mass density, g/cm³: 10.1
Calculated volume, Å³ per atom: 16.5

a b c (Å): 4.201 4.201 4.687
angles (deg): 90.00 90.00 90.00
Space group P4/mmm (No. 123)
Asymmetric unit:
Y  0.000  0.000  0.000 [1 per cell]
Hg  0.500  0.500  0.000 [1 per cell]
H  0.500  0.500  0.500 [1 per cell]
Pd  0.000  0.500  0.500 [2 per cell]



Record 3
VASP calculation (PBE) on a relaxed structure of ZnHg3H2Pd9.

Computed properties:
Final energy, eV/atom: -3.815
Mass density, g/cm³: 11.7
Calculated volume, Å³ per atom: 15.4

a b c (Å): 5.7985 5.7985 7.9444
angles (deg): 90.00 90.00 120.00
Space group P-3m1 (No. 164)
Asymmetric unit:
Zn  0.0000  0.0000  0.0000 [1 per cell]
Hg  0.0000  0.0000  0.5000 [1 per cell]
Hg  0.3333  0.6667  0.1449 [2 per cell]
H  0.3333  0.6667  0.6175 [2 per cell]
Pd  0.0000  0.5000  0.5000 [3 per cell]
Pd  0.1742  0.3485  0.7908 [6 per cell]



Record 4
VASP calculation (PBE) on a relaxed structure of ZnHgHPd2.

Computed properties:
Final energy, eV/atom: -3.137
Mass density, g/cm³: 11.5
Calculated volume, Å³ per atom: 13.8

a b c (Å): 4.029 4.029 4.256
angles (deg): 90.00 90.00 90.00
Space group P4/mmm (No. 123)
Asymmetric unit:
Zn  0.000  0.000  0.000 [1 per cell]
Hg  0.500  0.500  0.000 [1 per cell]
H  0.500  0.500  0.500 [1 per cell]
Pd  0.000  0.500  0.500 [2 per cell]



Record 5
VASP calculation (PBE) on a relaxed structure of ZnHgHPd2.

Computed properties:
Final energy, eV/atom: -3.209
Mass density, g/cm³: 11.7
Calculated volume, Å³ per atom: 13.6

a b c (Å): 4.049 4.049 4.150
angles (deg): 90.00 90.00 90.00
Space group P4/mmm (No. 123)
Asymmetric unit:
Zn  0.000  0.000  0.000 [1 per cell]
Hg  0.500  0.500  0.000 [1 per cell]
H  0.000  0.000  0.500 [1 per cell]
Pd  0.000  0.500  0.500 [2 per cell]



Record 6
VASP calculation (PBE) on a relaxed structure of ZrHgHPd2.

Computed properties:
Final energy, eV/atom: -4.763
Mass density, g/cm³: 11.1
Calculated volume, Å³ per atom: 15.2

a b c (Å): 4.191 4.191 4.313
angles (deg): 90.00 90.00 90.00
Space group P4/mmm (No. 123)
Asymmetric unit:
Zr  0.000  0.000  0.000 [1 per cell]
Hg  0.500  0.500  0.000 [1 per cell]
H  0.000  0.000  0.500 [1 per cell]
Pd  0.000  0.500  0.500 [2 per cell]



Record 7
VASP calculation (PBE) on a relaxed structure of Pm2HgH.

Computed properties:
Final energy, eV/atom: -3.615
Mass density, g/cm³: 8.8
Calculated volume, Å³ per atom: 23.3

a b c (Å): 3.7143 3.7143 23.3614
angles (deg): 90.00 90.00 120.00
Space group R-3m (No. 166, hexagonal axes)
Asymmetric unit:
Pm  0.0000  0.0000  0.2275 [6 per cell]
Hg  0.0000  0.0000  0.0000 [3 per cell]
H  0.0000  0.0000  0.5000 [3 per cell]



Record 8
VASP calculation (PBE) on a relaxed structure of PmHgH2.

Computed properties:
Final energy, eV/atom: -3.318
Mass density, g/cm³: 8.8
Calculated volume, Å³ per atom: 16.4

a b c (Å): 3.8195 3.8195 15.5381
angles (deg): 90.00 90.00 120.00
Space group R-3m (No. 166, hexagonal axes)
Asymmetric unit:
Pm  0.0000  0.0000  0.0000 [3 per cell]
Hg  0.0000  0.0000  0.5000 [3 per cell]
H  0.0000  0.0000  0.2976 [6 per cell]



- Number 6 is which compound?
  ZrHgHPd2